No. 1
The following is a SCAN calculation of a crystal of KPtW2 relaxed with PBEsol, from Alexandria via LeMat-Bulk.

Computed properties:
The density of states at the Fermi level is 0.77 states/eV/atom. For the calculated total energy, the calculation gives -53.621 eV per atom. The calculation puts the total moment at 0.00 μB/atom. As for the offset from the most stable computed form: 0 meV per atom.

```
data_KPtW2
_chemical_formula_sum 'K2 Pt2 W4'
_space_group_name_H-M_alt 'C 1 m 1'
_space_group_IT_number 8
_space_group_name_Hall 'C -2y'
_cell_length_a 9.6596
_cell_length_b 2.7294
_cell_length_c 6.9101
_cell_angle_alpha 90.00
_cell_angle_beta 99.51
_cell_angle_gamma 90.00
loop_
_atom_site_label
_atom_site_type_symbol
_atom_site_fract_x
_atom_site_fract_y
_atom_site_fract_z
K1 K 0.0000 0.0000 0.0000
Pt1 Pt 0.2241 0.0000 0.7125
W1 W 0.0301 0.5000 0.4795
W2 W 0.2925 0.5000 0.4160
```

=====

No. 2
The following is a SCAN calculation of a crystal of BeTc2Mo relaxed with PBEsol, from Alexandria via LeMat-Bulk.

Computed properties:
The density of states at the Fermi level is 0.89 states/eV/atom. For the calculated total energy, the calculation gives -27.248 eV per atom. The calculation puts the total moment at 0.00 μB/atom.

```
data_BeTc2Mo
_chemical_formula_sum 'Be4 Tc8 Mo4'
_space_group_name_H-M_alt 'F -4 3 m'
_space_group_IT_number 216
_space_group_name_Hall 'F -4 2 3'
_cell_length_a 5.9561
_cell_length_b 5.9561
_cell_length_c 5.9561
_cell_angle_alpha 90.00
_cell_angle_beta 90.00
_cell_angle_gamma 90.00
loop_
_atom_site_label
_atom_site_type_symbol
_atom_site_fract_x
_atom_site_fract_y
_atom_site_fract_z
Be1 Be 0.0000 0.0000 0.0000
Tc1 Tc 0.0000 0.0000 0.5000
Tc2 Tc 0.2500 0.2500 0.7500
Mo1 Mo 0.2500 0.2500 0.2500
```

=====

No. 3
The following is a SCAN calculation of a crystal of InCuSbTe2 relaxed with PBEsol, from Alexandria via LeMat-Bulk.

Computed properties:
The density of states at the Fermi level is 1.00 states/eV/atom. For the calculated total energy, the calculation gives -31.019 eV per atom. For the uncorrected formation energy, the calculation gives 1050 meV/atom. The calculation puts the total moment at 0.00 μB/atom.

```
data_InCuSbTe2
_chemical_formula_sum 'In1 Cu1 Sb1 Te2'
_space_group_name_H-M_alt 'P 4/m m m'
_space_group_IT_number 123
_space_group_name_Hall '-P 4 2'
_cell_length_a 5.5786
_cell_length_b 5.5786
_cell_length_c 5.4518
_cell_angle_alpha 90.00
_cell_angle_beta 90.00
_cell_angle_gamma 90.00
loop_
_atom_site_label
_atom_site_type_symbol
_atom_site_fract_x
_atom_site_fract_y
_atom_site_fract_z
In1 In 0.0000 0.0000 0.0000
Cu1 Cu 0.5000 0.5000 0.5000
Sb1 Sb 0.0000 0.0000 0.5000
Te1 Te 0.0000 0.5000 0.0000
```

=====

No. 4
The following is a SCAN calculation of a crystal of Hg2Pb2Se relaxed with PBEsol, from Alexandria via LeMat-Bulk.

Computed properties:
The density of states at the Fermi level is 0.64 states/eV/atom. For the calculated total energy, the calculation gives -61.443 eV per atom. For the uncorrected formation energy, the calculation gives 151 meV/atom. The calculation puts the total moment at 0.00 μB/atom.

```
data_Hg2Pb2Se
_chemical_formula_sum 'Hg4 Pb4 Se2'
_space_group_name_H-M_alt 'I 4/m m m'
_space_group_IT_number 139
_space_group_name_Hall '-I 4 2'
_cell_length_a 5.8982
_cell_length_b 5.8982
_cell_length_c 8.1313
_cell_angle_alpha 90.00
_cell_angle_beta 90.00
_cell_angle_gamma 90.00
loop_
_atom_site_label
_atom_site_type_symbol
_atom_site_fract_x
_atom_site_fract_y
_atom_site_fract_z
Hg1 Hg 0.0000 0.0000 0.1650
Pb1 Pb 0.0000 0.5000 0.2500
Se1 Se 0.0000 0.0000 0.5000
```

=====

No. 5
The following is a SCAN calculation of a crystal of ScPb3 relaxed with PBEsol, from Alexandria via LeMat-Bulk.

Computed properties:
The density of states at the Fermi level is 0.75 states/eV/atom. For the calculated total energy, the calculation gives -60.532 eV per atom. The calculation puts the total moment at 0.00 μB/atom.

```
data_ScPb3
_chemical_formula_sum 'Sc1 Pb3'
_space_group_name_H-M_alt 'P -6 m 2'
_space_group_IT_number 187
_space_group_name_Hall 'P -6 2'
_cell_length_a 3.4552
_cell_length_b 3.4552
_cell_length_c 10.4530
_cell_angle_alpha 90.00
_cell_angle_beta 90.00
_cell_angle_gamma 120.00
loop_
_atom_site_label
_atom_site_type_symbol
_atom_site_fract_x
_atom_site_fract_y
_atom_site_fract_z
Sc1 Sc 0.0000 0.0000 0.0000
Pb1 Pb 0.0000 0.0000 0.5000
Pb2 Pb 0.6667 0.3333 0.2317
```

=====

No. 6
The following is a SCAN calculation of a crystal of ZrZn2Tc relaxed with PBEsol, from Alexandria via LeMat-Bulk.

Computed properties:
The density of states at the Fermi level is 0.55 states/eV/atom. For the calculated total energy, the calculation gives -23.228 eV per atom. The calculation puts the total moment at 0.00 μB/atom. As for the offset from the most stable computed form: 269 meV per atom.

```
data_ZrZn2Tc
_chemical_formula_sum 'Zr4 Zn8 Tc4'
_space_group_name_H-M_alt 'F -4 3 m'
_space_group_IT_number 216
_space_group_name_Hall 'F -4 2 3'
_cell_length_a 6.3092
_cell_length_b 6.3092
_cell_length_c 6.3092
_cell_angle_alpha 90.00
_cell_angle_beta 90.00
_cell_angle_gamma 90.00
loop_
_atom_site_label
_atom_site_type_symbol
_atom_site_fract_x
_atom_site_fract_y
_atom_site_fract_z
Zr1 Zr 0.0000 0.0000 0.0000
Zn1 Zn 0.0000 0.0000 0.5000
Zn2 Zn 0.2500 0.2500 0.7500
Tc1 Tc 0.2500 0.2500 0.2500
```